A plane-wave DFT calculation with PBE-GGA was carried out for a relaxed structure of AlPdAu6.

The structure in POSCAR format:
```
AlPdAu6
1.0
4.8016 0.0000 0.0000
0.6034 5.3339 0.0000
0.6530 2.0735 5.7281
Al Pd Au
1 1 6
direct
0.0000 0.0000 0.0000
0.5000 0.5000 0.5000
0.0294 0.4923 0.2539
0.2348 0.0091 0.6061
0.4571 0.2542 0.9996
0.5429 0.7458 0.0004
0.7652 0.9909 0.3939
0.9706 0.5077 0.7461
```

Summary:
Calculated total energy   -3.659 eV per atom
DOS(E_F)   1.8 states/eV/cell
Magnetization   0.0 μB/f.u.
Offset from the most stable computed form   97.4 meV/atom
DFT formation energy   -0.0842 eV per atom

---

A plane-wave DFT calculation with PBE-GGA was carried out for a relaxed structure of AlPd4Au7.

The structure in POSCAR format:
```
AlPd4Au7
1.0
5.0969 -2.4699 0.0000
5.0969 2.4699 0.0000
-5.0394 0.0000 8.7329
Al Pd Au
1 4 7
direct
0.0000 0.0000 0.0000
0.2727 0.2727 0.6929
0.4144 0.4144 0.2283
0.5856 0.5856 0.7717
0.7273 0.7273 0.3071
0.0408 0.0408 0.3784
0.1928 0.1928 0.9212
0.3442 0.3442 0.4586
0.5000 0.5000 0.0000
0.6558 0.6558 0.5414
0.8072 0.8072 0.0788
0.9592 0.9592 0.6216
```

Summary:
Calculated total energy   -3.939 eV per atom
DOS(E_F)   6.4 states/eV/cell
Magnetization   0.0 μB/f.u.
DFT formation energy   0.0155 eV per atom

---

A plane-wave DFT calculation with PBE-GGA was carried out for a relaxed structure of Pm2Al4Pd3Au.

The structure in POSCAR format:
```
Pm2Al4Pd3Au
1.0
4.2919 0.0000 0.0000
0.0000 4.2919 0.0000
0.0000 0.0000 10.6000
Pm Al Pd Au
2 4 3 1
direct
0.0000 0.5000 0.2447
0.5000 0.0000 0.7553
0.0000 0.0000 0.0000
0.0000 0.5000 0.6338
0.5000 0.0000 0.3662
0.5000 0.5000 0.0000
0.0000 0.5000 0.8691
0.5000 0.0000 0.1309
0.5000 0.5000 0.5000
0.0000 0.0000 0.5000
```

Summary:
Calculated total energy   -5.157 eV per atom
DOS(E_F)   7.1 states/eV/cell
Magnetization   0.0 μB/f.u.
DFT formation energy   -0.8239 eV per atom

---

A plane-wave DFT calculation with PBE-GGA was carried out for a relaxed structure of PmAl4Pd2Au.

The structure in POSCAR format:
```
PmAl4Pd2Au
1.0
2.1549 1.2441 9.1022
-2.1549 1.2441 9.1022
0.0000 -2.4883 9.1022
Pm Al Pd Au
1 4 2 1
direct
0.0000 0.0000 0.0000
0.1268 0.1268 0.1268
0.4023 0.4023 0.4023
0.5977 0.5977 0.5977
0.8732 0.8732 0.8732
0.2430 0.2430 0.2430
0.7570 0.7570 0.7570
0.5000 0.5000 0.5000
```

Summary:
Calculated total energy   -4.819 eV per atom
DOS(E_F)   3.2 states/eV/cell
Magnetization   0.0 μB/f.u.
DFT formation energy   -0.6461 eV per atom

---

A plane-wave DFT calculation with PBE-GGA was carried out for a relaxed structure of PmAl2PdAu4.

The structure in POSCAR format:
```
PmAl2PdAu4
1.0
2.2134 1.2779 9.1589
-2.2134 1.2779 9.1589
0.0000 -2.5558 9.1589
Pm Al Pd Au
1 2 1 4
direct
0.0000 0.0000 0.0000
0.2307 0.2307 0.2307
0.7693 0.7693 0.7693
0.5000 0.5000 0.5000
0.1232 0.1232 0.1232
0.3964 0.3964 0.3964
0.6036 0.6036 0.6036
0.8768 0.8768 0.8768
```

Summary:
Calculated total energy   -4.342 eV per atom
DOS(E_F)   3.6 states/eV/cell
Magnetization   0.0 μB/f.u.
DFT formation energy   -0.5249 eV per atom

---

A plane-wave DFT calculation with PBE-GGA was carried out for a relaxed structure of Pm2Al5Pd2Au.

The structure in POSCAR format:
```
Pm2Al5Pd2Au
1.0
9.8918 0.0000 0.0000
0.0000 9.8918 0.0000
0.0000 0.0000 3.9689
Pm Al Pd Au
4 10 4 2
direct
0.1874 0.3126 0.0000
0.3126 0.8126 0.0000
0.6874 0.1874 0.0000
0.8126 0.6874 0.0000
0.0000 0.5000 0.5000
0.0494 0.7982 0.5000
0.2018 0.0494 0.5000
0.2982 0.5494 0.5000
0.4506 0.2982 0.5000
0.5000 0.0000 0.5000
0.5494 0.7018 0.5000
0.7018 0.4506 0.5000
0.7982 0.9506 0.5000
0.9506 0.2018 0.5000
0.1106 0.6106 0.0000
0.3894 0.1106 0.0000
0.6106 0.8894 0.0000
0.8894 0.3894 0.0000
0.0000 0.0000 0.0000
0.5000 0.5000 0.0000
```

Summary:
Calculated total energy   -4.834 eV per atom
DOS(E_F)   10.9 states/eV/cell
Magnetization   0.0 μB/f.u.
DFT formation energy   -0.6467 eV per atom

---

A plane-wave DFT calculation with PBE-GGA was carried out for a relaxed structure of Pm2Al3PdAu4.

The structure in POSCAR format:
```
Pm2Al3PdAu4
1.0
4.2856 0.0000 0.0000
0.0000 4.2856 0.0000
0.0000 0.0000 11.1886
Pm Al Pd Au
2 3 1 4
direct
0.0000 0.5000 0.2463
0.5000 0.0000 0.7537
0.0000 0.0000 0.0000
0.0000 0.5000 0.6278
0.5000 0.0000 0.3722
0.5000 0.5000 0.0000
0.0000 0.0000 0.5000
0.0000 0.5000 0.8495
0.5000 0.0000 0.1505
0.5000 0.5000 0.5000
```

Summary:
Calculated total energy   -4.576 eV per atom
DOS(E_F)   6.3 states/eV/cell
Magnetization   0.0 μB/f.u.
DFT formation energy   -0.6730 eV per atom

---

A plane-wave DFT calculation with PBE-GGA was carried out for a relaxed structure of PrAl3PdAu.

The structure in POSCAR format:
```
PrAl3PdAu
1.0
3.0667 -6.4866 0.0000
3.0667 6.4866 0.0000
0.0000 0.0000 6.0142
Pr Al Pd Au
2 6 2 2
direct
0.2089 0.7911 0.7500
0.7911 0.2089 0.2500
0.2123 0.2123 0.0000
0.2123 0.2123 0.5000
0.3675 0.6325 0.2500
0.6325 0.3675 0.7500
0.7877 0.7877 0.0000
0.7877 0.7877 0.5000
0.4223 0.5777 0.7500
0.5777 0.4223 0.2500
0.1573 0.8427 0.2500
0.8427 0.1573 0.7500
```

Summary:
Calculated total energy   -4.602 eV per atom
DOS(E_F)   4.7 states/eV/cell
Magnetization   0.0 μB/f.u.
DFT formation energy   -0.5225 eV per atom

---

A plane-wave DFT calculation with PBE-GGA was carried out for a relaxed structure of Pr2Al3PdAu4.

The structure in POSCAR format:
```
Pr2Al3PdAu4
1.0
4.3733 0.0000 0.0000
0.0000 4.3733 0.0000
0.0000 0.0000 10.9459
Pr Al Pd Au
2 3 1 4
direct
0.0000 0.5000 0.2470
0.5000 0.0000 0.7530
0.0000 0.0000 0.0000
0.0000 0.5000 0.6254
0.5000 0.0000 0.3746
0.5000 0.5000 0.0000
0.0000 0.0000 0.5000
0.0000 0.5000 0.8534
0.5000 0.0000 0.1466
0.5000 0.5000 0.5000
```

Summary:
Calculated total energy   -4.584 eV per atom
DOS(E_F)   5.9 states/eV/cell
Magnetization   0.0 μB/f.u.
DFT formation energy   -0.6747 eV per atom

---

A plane-wave DFT calculation with PBE-GGA was carried out for a relaxed structure of Pr2Al4PdAu3.

The structure in POSCAR format:
```
Pr2Al4PdAu3
1.0
4.4169 0.0000 0.0000
0.0000 4.4169 0.0000
0.0000 0.0000 10.4706
Pr Al Pd Au
2 4 1 3
direct
0.0000 0.5000 0.2487
0.5000 0.0000 0.7513
0.0000 0.0000 0.5000
0.0000 0.5000 0.8752
0.5000 0.0000 0.1248
0.5000 0.5000 0.5000
0.5000 0.5000 0.0000
0.0000 0.0000 0.0000
0.0000 0.5000 0.6332
0.5000 0.0000 0.3668
```

Summary:
Calculated total energy   -4.735 eV per atom
DOS(E_F)   6.7 states/eV/cell
Magnetization   0.0 μB/f.u.
DFT formation energy   -0.7796 eV per atom

---

A plane-wave DFT calculation with PBE-GGA was carried out for a relaxed structure of PrAl4Pd2Au.

The structure in POSCAR format:
```
PrAl4Pd2Au
1.0
2.1579 1.2459 9.2158
-2.1579 1.2459 9.2158
0.0000 -2.4918 9.2158
Pr Al Pd Au
1 4 2 1
direct
0.0000 0.0000 0.0000
0.1273 0.1273 0.1273
0.4036 0.4036 0.4036
0.5964 0.5964 0.5964
0.8727 0.8727 0.8727
0.2414 0.2414 0.2414
0.7586 0.7586 0.7586
0.5000 0.5000 0.5000
```

Summary:
Calculated total energy   -4.822 eV per atom
DOS(E_F)   3.2 states/eV/cell
Magnetization   0.0 μB/f.u.
DFT formation energy   -0.6454 eV per atom

---

A plane-wave DFT calculation with PBE-GGA was carried out for a relaxed structure of PrAl2Pd5Au.

The structure in POSCAR format:
```
PrAl2Pd5Au
1.0
4.1210 0.0000 0.0000
0.0000 4.1210 0.0000
0.0000 0.0000 9.5817
Pr Al Pd Au
1 2 5 1
direct
0.0000 0.0000 0.0000
0.5000 0.5000 0.3699
0.5000 0.5000 0.6301
0.0000 0.5000 0.2314
0.0000 0.5000 0.7686
0.5000 0.0000 0.2314
0.5000 0.0000 0.7686
0.5000 0.5000 0.0000
0.0000 0.0000 0.5000
```

Summary:
Calculated total energy   -5.149 eV per atom
DOS(E_F)   2.1 states/eV/cell
Magnetization   0.0 μB/f.u.
DFT formation energy   -0.5373 eV per atom